Density functional theory data (PBE) for a relaxed structure of ReB2Rh.

Calculated values
- Energy of formation: 250 meV/atom
- ΔE to the lowest computed polymorph: 0.0 meV/atom
- Final energy: -8.0388 eV/atom
- SG: No. 225

Lattice parameters (Å, degrees): 3.8677 3.8677 3.8677 60.00 60.00 60.00
Closest atoms and distances in Å follow each position.
Atoms (fractional coordinates):
Re 0.5000 0.5000 0.5000  8 B 2.37
Rh 0.0000 0.0000 0.0000  8 B 2.37
B 0.7500 0.7500 0.7500  4 Re 2.37, 4 Rh 2.37
B 0.2500 0.2500 0.2500  4 Re 2.37, 4 Rh 2.37



Density functional theory data (PBE) for a relaxed structure of K2NaCeI6.

Calculated values
- ΔE to the lowest computed polymorph: 0.0 meV/atom
- Final energy: -3.2644 eV/atom
- SG: No. 14

Lattice parameters (Å, degrees): 8.2804 8.8744 12.0712 90.00 89.20 90.00
Closest atoms and distances in Å follow each position.
Atoms (fractional coordinates):
I 0.6906 0.3115 0.9405  1 Ce 3.15, 1 Na 3.26
I 0.6226 0.0341 0.2529  1 Ce 3.15, 1 Na 3.25
I 0.6804 0.3018 0.5612  1 Ce 3.16, 1 Na 3.25
I 0.1226 0.4659 0.7529  1 Ce 3.15, 1 Na 3.25
I 0.1906 0.1885 0.4405  1 Ce 3.15, 1 Na 3.26
I 0.3196 0.6982 0.4388  1 Ce 3.16, 1 Na 3.25
I 0.1804 0.1982 0.0612  1 Ce 3.16, 1 Na 3.25
I 0.8196 0.8018 0.9388  1 Ce 3.16, 1 Na 3.25
I 0.8774 0.5341 0.2471  1 Ce 3.15, 1 Na 3.25
I 0.3094 0.6885 0.0595  1 Ce 3.15, 1 Na 3.26
I 0.8094 0.8115 0.5595  1 Ce 3.15, 1 Na 3.26
I 0.3774 0.9659 0.7471  1 Ce 3.15, 1 Na 3.25
K 0.4646 0.4098 0.2465  6 I 3.58-3.79
K 0.0354 0.9098 0.2535  6 I 3.58-3.79
K 0.9646 0.0902 0.7465  6 I 3.58-3.79
K 0.5354 0.5902 0.7535  6 I 3.58-3.79
Na 0.5000 0.0000 0.0000  6 I 3.25-3.26
Na 0.0000 0.5000 0.5000  6 I 3.25-3.26
Ce 0.0000 0.5000 0.0000  6 I 3.15-3.16
Ce 0.5000 0.0000 0.5000  6 I 3.15-3.16



Density functional theory data (PBE) for a relaxed structure of LiNdPb.

Calculated values
- Energy of formation: -265 meV/atom
- Final energy: -3.7283 eV/atom
- SG: No. 107

Lattice parameters (Å, degrees): 3.6208 3.6208 6.5403 106.07 106.07 90.00
Closest atoms and distances in Å follow each position.
Atoms (fractional coordinates):
Nd 0.6153 0.6153 0.2306  5 Pb 3.44-3.73, 5 Li 3.47-3.68, 4 Nd 3.62
Pb 0.9249 0.9249 0.8497  4 Li 2.91
Li 0.3098 0.3098 0.6196  4 Pb 2.91



Density functional theory data (PBE) for a relaxed structure of Ac6P2Se3S.

Calculated values
- Final energy: -5.9907 eV/atom
- SG: No. 12

Lattice parameters (Å, degrees): 4.4143 8.9182 9.9466 103.72 102.82 90.00
Closest atoms and distances in Å follow each position.
Atoms (fractional coordinates):
P 0.1657 0.3314 0.3313  6 Ac 3.04-3.07
P 0.8343 0.6686 0.6687  6 Ac 3.04-3.07
Ac 0.6711 0.5734 0.3422  3 P 3.07, 3 Se 3.22
Ac 0.3359 0.9063 0.6717  2 P 3.05, 1 S 3.09, 3 Se 3.19-3.21
Ac 0.3289 0.4266 0.6578  3 P 3.07, 3 Se 3.22
Ac 0.6641 0.0937 0.3283  2 P 3.05, 1 S 3.09, 3 Se 3.19-3.21
Ac 0.0042 0.2430 0.0084  1 P 3.04, 2 S 3.08, 3 Se 3.20-3.21
Ac 0.9958 0.7570 0.9916  1 P 3.04, 2 S 3.08, 3 Se 3.20-3.21
Se 0.8335 0.1666 0.6671  6 Ac 3.19-3.22
Se 0.1665 0.8334 0.3329  6 Ac 3.19-3.22
Se 0.5000 0.5000 0.0000  6 Ac 3.20-3.22
S 0.5000 0.0000 0.0000  6 Ac 3.08-3.09



Density functional theory data (PBE) for a relaxed structure of Sc6AsC2.

Calculated values
- Energy of formation: -520 meV/atom
- Final energy: -7.3072 eV/atom
- SG: No. 12

Lattice parameters (Å, degrees): 4.5060 6.2874 7.1650 71.46 71.67 69.00
Closest atoms and distances in Å follow each position.
Atoms (fractional coordinates):
Sc 0.6946 0.6836 0.9272  3 C 2.27-2.42
Sc 0.0348 0.1318 0.7986  2 C 2.31-2.32
Sc 0.9652 0.8682 0.2014  2 C 2.31-2.32
Sc 0.3427 0.7290 0.5856  1 C 2.20
Sc 0.6573 0.2710 0.4144  1 C 2.20
Sc 0.3054 0.3164 0.0728  3 C 2.27-2.42
C 0.8188 0.2714 0.0910  6 Sc 2.20-2.42
C 0.1812 0.7286 0.9090  6 Sc 2.20-2.42
As 0.0000 0.5000 0.5000  6 Sc 2.60-2.75



Density functional theory data (PBE) for a relaxed structure of Ba2PdSeF.

Calculated values
- Final energy: -4.1499 eV/atom
- SG: No. 123

Lattice parameters (Å, degrees): 6.0386 4.8219 6.0386 90.00 90.00 90.00
Closest atoms and distances in Å follow each position.
Atoms (fractional coordinates):
Ba 0.5000 0.0000 0.0000  2 Pd 3.02
Ba 0.0000 0.0000 0.5000  2 Pd 3.02
F 0.5000 0.5000 0.5000  8 Ba 3.86, 4 Se 4.27
Pd 0.0000 0.0000 0.0000  2 Se 2.41
Se 0.0000 0.5000 0.0000  2 Pd 2.41



Density functional theory data (PBE) for a relaxed structure of Hf2SnHPd.

Calculated values
- Final energy: -6.9197 eV/atom
- SG: No. 123

Lattice parameters (Å, degrees): 4.3419 4.3419 4.2671 90.00 90.00 90.00
Closest atoms and distances in Å follow each position.
Atoms (fractional coordinates):
Sn 0.5000 0.5000 0.5000  8 Hf 3.04, 4 Pd 3.07
Hf 0.5000 0.0000 0.0000  2 H 2.17
Hf 0.0000 0.5000 0.0000  2 H 2.17
Pd 0.0000 0.0000 0.5000  2 H 2.13
H 0.0000 0.0000 0.0000  2 Pd 2.13, 4 Hf 2.17



Density functional theory data (PBE) for a relaxed structure of RbCd2GaPt.

Calculated values
- Energy of formation: -301 meV/atom
- Final energy: -2.6744 eV/atom
- SG: No. 123

Lattice parameters (Å, degrees): 5.3724 5.3724 4.8735 90.00 90.00 90.00
Closest atoms and distances in Å follow each position.
Atoms (fractional coordinates):
Cd 0.5000 0.0000 0.0000  2 Pt 2.69
Cd 0.0000 0.5000 0.0000  2 Pt 2.69
Pt 0.0000 0.0000 0.0000  2 Ga 2.44, 4 Cd 2.69
Rb 0.5000 0.5000 0.5000  8 Cd 3.63, 4 Ga 3.80
Ga 0.0000 0.0000 0.5000  2 Pt 2.44